[1]
Material: Lu2InTe
Method: DFT, PBE
State: relaxed

a b c (Å): 3.619 3.619 8.000
angles (deg): 90.00 90.00 90.00
Atoms (fractional coordinates):
Lu 0.000 0.000 0.240
Lu 0.000 0.000 0.760
In 0.500 0.500 0.500
Te 0.500 0.500 0.000

Formation energy from raw total energies, meV per atom: -624
Density of states at the Fermi level, states/eV/atom: 0.82


[2]
Material: BiMo2PtI
Method: DFT, PBE
State: relaxed

a b c (Å): 5.559 5.559 5.071
angles (deg): 90.00 90.00 90.00
Atoms (fractional coordinates):
Bi 0.000 0.000 0.000
Mo 0.000 0.500 0.000
Mo 0.500 0.000 0.000
Pt 0.000 0.000 0.500
I 0.500 0.500 0.500

Formation energy from raw total energies, meV per atom: 1776
Density of states at the Fermi level, states/eV/atom: 0.58